*one*
Compound: Be2IrF
Source: Alexandria
Functional: GGA-PBE
Structure: optimized geometry

Cell: 5.2407 5.2407 4.8163 Å, 57.04 57.04 90.00°
Last column: nearest neighbours and their distance in Å.
Element x y z (fractional)
Ir1 0.7500 0.2500 0.5000  4 Be 2.30
Ir2 0.0000 0.0000 0.0000  4 Be 2.30
F1 0.5000 0.5000 0.0000  4 Be 1.76
F2 0.2500 0.7500 0.5000  4 Be 1.76
Be1 0.8750 0.7957 0.7500  2 F 1.76
Be2 0.2043 0.6250 0.2500  2 F 1.76
Be3 0.3750 0.4543 0.7500  2 F 1.76
Be4 0.5457 0.1250 0.2500  2 F 1.76


*two*
Compound: Be2IrF
Source: Alexandria
Functional: GGA-PBE
Structure: optimized geometry

Cell: 3.9568 3.9568 3.9568 Å, 60.00 60.00 60.00°
Last column: nearest neighbours and their distance in Å.
Element x y z (fractional)
Be1 0.7500 0.7500 0.7500  4 F 2.42, 4 Ir 2.42
Be2 0.2500 0.2500 0.2500  4 F 2.42, 4 Ir 2.42
Ir1 0.5000 0.5000 0.5000  8 Be 2.42
F1 0.0000 0.0000 0.0000  8 Be 2.42


Pick *one*: it beats the second-best structure by 0.642 eV/atom.